# KHfNb2 PBE-GGA relaxed
data_KHfNb2
_space_group_name_H-M_alt 'F m -3 m'
_space_group_IT_number 225
_space_group_name_Hall '-F 4 2 3'
_cell_length_a 7.081
_cell_length_b 7.081
_cell_length_c 7.081
_cell_angle_alpha 90.00
_cell_angle_beta 90.00
_cell_angle_gamma 90.00
loop_
_atom_site_label
_atom_site_type_symbol
_atom_site_fract_x
_atom_site_fract_y
_atom_site_fract_z
K1 K 0.000 0.000 0.000
Hf1 Hf 0.000 0.000 0.500
Nb1 Nb 0.250 0.250 0.250
# Formation energy   1.3627 eV/atom
# Excess energy over the best structure of this formula in the dataset   0.000 eV/atom
# Raw total energy   -6.435 eV per atom

=====

# Sr2CaPb3 PBE-GGA relaxed
data_Sr2CaPb3
_space_group_name_H-M_alt 'C m m m'
_space_group_IT_number 65
_space_group_name_Hall '-C 2 2'
_cell_length_a 5.841
_cell_length_b 17.592
_cell_length_c 7.871
_cell_angle_alpha 90.00
_cell_angle_beta 90.00
_cell_angle_gamma 90.00
loop_
_atom_site_label
_atom_site_type_symbol
_atom_site_fract_x
_atom_site_fract_y
_atom_site_fract_z
Sr1 Sr 0.000 0.000 0.000
Sr2 Sr 0.000 0.000 0.500
Sr3 Sr 0.000 0.335 0.000
Ca1 Ca 0.000 0.335 0.500
Pb1 Pb 0.000 0.171 0.265
Pb2 Pb 0.000 0.500 0.260
# Formation energy   -0.5093 eV/atom
# Raw total energy   -3.258 eV per atom

=====

# Ac2SN PBE-GGA relaxed
data_Ac2SN
_space_group_name_H-M_alt 'R 3 m'
_space_group_IT_number 160
_space_group_name_Hall 'R 3 -2"'
_cell_length_a 3.9892
_cell_length_b 3.9892
_cell_length_c 21.5487
_cell_angle_alpha 90.00
_cell_angle_beta 90.00
_cell_angle_gamma 120.00
loop_
_atom_site_label
_atom_site_type_symbol
_atom_site_fract_x
_atom_site_fract_y
_atom_site_fract_z
Ac1 Ac 0.0000 0.0000 0.0000
Ac2 Ac 0.0000 0.0000 0.1936
S1 S 0.0000 0.0000 0.4299
N1 N 0.0000 0.0000 0.6009
# Raw formation energy   -144 kJ/mol of atoms
# Excess energy over the best structure of this formula in the dataset   0.072 eV/atom
# Raw total energy   -6.662 eV per atom

=====

# Rb4Np3SbTe8 PBE-GGA relaxed
data_Rb4Np3SbTe8
_space_group_name_H-M_alt 'R -3 m'
_space_group_IT_number 166
_space_group_name_Hall '-R 3 2"'
_cell_length_a 9.2307
_cell_length_b 9.2307
_cell_length_c 25.4848
_cell_angle_alpha 90.00
_cell_angle_beta 90.00
_cell_angle_gamma 120.00
loop_
_atom_site_label
_atom_site_type_symbol
_atom_site_fract_x
_atom_site_fract_y
_atom_site_fract_z
Rb1 Rb 0.0000 0.0000 0.0000
Rb2 Rb 0.0000 0.5000 0.0000
Np1 Np 0.0000 0.5000 0.5000
Sb1 Sb 0.0000 0.0000 0.5000
Te1 Te 0.0000 0.0000 0.2333
Te2 Te 0.0018 0.5009 0.2328
# Raw formation energy   -76 kJ/mol of atoms
# Raw total energy   -5.280 eV per atom

=====

# Sr8Cd2P PBE-GGA relaxed
data_Sr8Cd2P
_space_group_name_H-M_alt 'C 1 2/m 1'
_space_group_IT_number 12
_cell_length_a 14.060
_cell_length_b 10.238
_cell_length_c 7.494
_cell_angle_alpha 90.00
_cell_angle_beta 108.77
_cell_angle_gamma 90.00
loop_
_space_group_symop_operation_xyz
'x,y,z'
'-x,-y,-z'
'-x,y,-z'
'x,-y,z'
'x+1/2,y+1/2,z'
'-x+1/2,-y+1/2,-z'
'-x+1/2,y+1/2,-z'
'x+1/2,-y+1/2,z'
loop_
_atom_site_label
_atom_site_type_symbol
_atom_site_fract_x
_atom_site_fract_y
_atom_site_fract_z
Sr1 Sr 0.084 0.000 0.293
Sr2 Sr 0.129 0.500 0.251
Sr3 Sr 0.145 0.302 0.740
Cd1 Cd 0.177 0.000 0.926
P1 P 0.000 0.500 0.500
# Formation energy   -0.2927 eV/atom
# Raw total energy   -2.174 eV per atom

=====

# Zr2NbPt PBE-GGA relaxed
data_Zr2NbPt
_space_group_name_H-M_alt 'I -4 2 d'
_space_group_IT_number 122
_space_group_name_Hall 'I -4 2bw'
_cell_length_a 4.038
_cell_length_b 4.038
_cell_length_c 20.237
_cell_angle_alpha 90.00
_cell_angle_beta 90.00
_cell_angle_gamma 90.00
loop_
_atom_site_label
_atom_site_type_symbol
_atom_site_fract_x
_atom_site_fract_y
_atom_site_fract_z
Zr1 Zr 0.249 0.250 0.125
Nb1 Nb 0.000 0.000 0.500
Pt1 Pt 0.000 0.000 0.000
# Formation energy   0.1475 eV/atom
# Excess energy over the best structure of this formula in the dataset   0.680 eV/atom
# Raw total energy   -8.154 eV per atom

=====

# Ba3Np2ZnO9 PBE-GGA relaxed
data_Ba3Np2ZnO9
_space_group_name_H-M_alt 'P -3 m 1'
_space_group_IT_number 164
_space_group_name_Hall '-P 3 2"'
_cell_length_a 6.0581
_cell_length_b 6.0581
_cell_length_c 7.4918
_cell_angle_alpha 90.00
_cell_angle_beta 90.00
_cell_angle_gamma 120.00
loop_
_atom_site_label
_atom_site_type_symbol
_atom_site_fract_x
_atom_site_fract_y
_atom_site_fract_z
Ba1 Ba 0.0000 0.0000 0.0000
Ba2 Ba 0.3333 0.6667 0.6504
Np1 Np 0.3333 0.6667 0.1742
Zn1 Zn 0.0000 0.0000 0.5000
O1 O 0.0000 0.5000 0.0000
O2 O 0.1685 0.3370 0.3319
# Raw formation energy   -265 kJ/mol of atoms
# Raw total energy   -7.917 eV per atom

=====

# BaNbCrS2 PBE-GGA relaxed
data_BaNbCrS2
_space_group_name_H-M_alt 'P 4/m m m'
_space_group_IT_number 123
_space_group_name_Hall '-P 4 2'
_cell_length_a 4.811
_cell_length_b 4.811
_cell_length_c 5.372
_cell_angle_alpha 90.00
_cell_angle_beta 90.00
_cell_angle_gamma 90.00
loop_
_atom_site_label
_atom_site_type_symbol
_atom_site_fract_x
_atom_site_fract_y
_atom_site_fract_z
Ba1 Ba 0.000 0.000 0.000
Nb1 Nb 0.500 0.500 0.000
Cr1 Cr 0.000 0.000 0.500
S1 S 0.000 0.500 0.500
# Raw formation energy   67 kJ/mol of atoms
# Raw total energy   -5.278 eV per atom

=====

# CePa2RuC4 PBE-GGA relaxed
data_CePa2RuC4
_space_group_name_H-M_alt 'C m c m'
_space_group_IT_number 63
_space_group_name_Hall '-C 2c 2'
_cell_length_a 3.561
_cell_length_b 11.943
_cell_length_c 11.728
_cell_angle_alpha 90.00
_cell_angle_beta 90.00
_cell_angle_gamma 90.00
loop_
_atom_site_label
_atom_site_type_symbol
_atom_site_fract_x
_atom_site_fract_y
_atom_site_fract_z
Ce1 Ce 0.000 0.109 0.250
Pa1 Pa 0.000 0.368 0.048
Ru1 Ru 0.000 0.150 0.750
C1 C 0.000 0.000 0.000
C2 C 0.000 0.267 0.626
C3 C 0.000 0.446 0.250
# Formation energy   -0.1650 eV/atom
# Raw total energy   -9.052 eV per atom

=====

# UCo4As2 PBE-GGA relaxed
data_UCo4As2
_space_group_name_H-M_alt 'I 4/m m m'
_space_group_IT_number 139
_space_group_name_Hall '-I 4 2'
_cell_length_a 3.704
_cell_length_b 3.704
_cell_length_c 15.184
_cell_angle_alpha 90.00
_cell_angle_beta 90.00
_cell_angle_gamma 90.00
loop_
_atom_site_label
_atom_site_type_symbol
_atom_site_fract_x
_atom_site_fract_y
_atom_site_fract_z
U1 U 0.000 0.000 0.000
Co1 Co 0.000 0.000 0.141
Co2 Co 0.000 0.500 0.250
As1 As 0.000 0.000 0.357
# Formation energy   -0.0876 eV/atom
# Raw total energy   -7.089 eV per atom

=====

# PHOsO PBE-GGA relaxed
data_PHOsO
_space_group_name_H-M_alt 'C 1 m 1'
_space_group_IT_number 8
_cell_length_a 8.135
_cell_length_b 3.252
_cell_length_c 4.053
_cell_angle_alpha 90.00
_cell_angle_beta 118.70
_cell_angle_gamma 90.00
loop_
_space_group_symop_operation_xyz
'x,y,z'
'x,-y,z'
'x+1/2,y+1/2,z'
'x+1/2,-y+1/2,z'
loop_
_atom_site_label
_atom_site_type_symbol
_atom_site_fract_x
_atom_site_fract_y
_atom_site_fract_z
P1 P 0.000 0.000 0.000
H1 H 0.488 0.000 0.377
Os1 Os 0.299 0.000 0.976
O1 O 0.207 0.000 0.377
# Excess energy over the best structure of this formula in the dataset   0.264 eV/atom
# Raw total energy   -6.454 eV per atom

=====

# CeEr4 PBE-GGA relaxed
data_CeEr4
_space_group_name_H-M_alt 'P m -3 m'
_space_group_IT_number 221
_space_group_name_Hall '-P 4 2 3'
_cell_length_a 5.482
_cell_length_b 5.482
_cell_length_c 5.482
_cell_angle_alpha 90.00
_cell_angle_beta 90.00
_cell_angle_gamma 90.00
loop_
_atom_site_label
_atom_site_type_symbol
_atom_site_fract_x
_atom_site_fract_y
_atom_site_fract_z
Ce1 Ce 0.000 0.000 0.000
Er1 Er 0.000 0.000 0.500
Er2 Er 0.500 0.500 0.500
# Formation energy   0.6486 eV/atom
# Excess energy over the best structure of this formula in the dataset   0.588 eV/atom
# Raw total energy   -4.189 eV per atom

=====

Q: What is the formula in the eleventh record?
A: PHOsO

=====

Q: raw total energy of number 1 (KHfNb2)?
A: -6.435 eV per atom

=====

Copy entry 1 word for word.
# KHfNb2 PBE-GGA relaxed
data_KHfNb2
_space_group_name_H-M_alt 'F m -3 m'
_space_group_IT_number 225
_space_group_name_Hall '-F 4 2 3'
_cell_length_a 7.081
_cell_length_b 7.081
_cell_length_c 7.081
_cell_angle_alpha 90.00
_cell_angle_beta 90.00
_cell_angle_gamma 90.00
loop_
_atom_site_label
_atom_site_type_symbol
_atom_site_fract_x
_atom_site_fract_y
_atom_site_fract_z
K1 K 0.000 0.000 0.000
Hf1 Hf 0.000 0.000 0.500
Nb1 Nb 0.250 0.250 0.250
# Formation energy   1.3627 eV/atom
# Excess energy over the best structure of this formula in the dataset   0.000 eV/atom
# Raw total energy   -6.435 eV per atom